{
  "formula": "CsCr2Hg2O7",
  "functional": "GGA+U",
  "state": "relaxed",
  "volume_a3_per_cell": 243.5,
  "sg": "R32 (155)",
  "total_magnetization_mub_per_cell": 0.0,
  "e_tot_ev_per_fu": -63.6,
  "lattice": [[5.8816, 0.0000, 0.0000], [2.9408, 5.0936, 0.0000], [2.9408, 1.6979, 8.1293]],
  "species": ["Hg", "Hg", "O", "O", "O", "O", "O", "O", "O", "Cs", "Cr", "Cr"],
  "fractional_positions": [[0.6863, 0.6863, 0.9411], [0.3137, 0.3137, 0.0589], [0.6006, 0.0596, 0.2864], [0.9466, 0.9404, 0.7136], [0.0596, 0.0534, 0.2864], [0.3994, 0.9466, 0.7136], [0.0534, 0.6006, 0.2864], [0.0000, 0.0000, 0.0000], [0.9404, 0.3994, 0.7136], [0.5000, 0.5000, 0.5000], [0.0733, 0.0733, 0.7802], [0.9267, 0.9267, 0.2198]]
}